No. 1
First-principles (PBE) data for crystalline Ca2SmPaO6 at its relaxed geometry, as listed in Alexandria via LeMat-Bulk.

For the density of states at the Fermi level, the calculation gives 0.000 states/eV per cell. The value obtained for the final energy is -8.158 eV/atom.

It has space group R3 (No. 146, hexagonal axes), with a = 5.9264 Å, b = 5.9264 Å, c = 15.3490 Å, α = 90.00°, β = 90.00° and γ = 120.00°. Symmetry generates all atoms from Ca at (0.0000, 0.0000, 0.0000), Ca at (0.0000, 0.0000, 0.4955), Sm at (0.0000, 0.0000, 0.2778), Pa at (0.0000, 0.0000, 0.7840), O at (0.0153, 0.3828, 0.0505) and O at (0.0163, 0.7254, 0.8783).

***

No. 2
First-principles (PBE) data for crystalline CaPaSn2O8 at its relaxed geometry, as listed in Alexandria via LeMat-Bulk.

For the density of states at the Fermi level, the calculation gives 21.448 states/eV per cell. The value obtained for the final energy is -7.042 eV/atom.

It has space group I-4m2 (No. 119), with a = 7.2872 Å, b = 7.2872 Å, c = 7.0199 Å, α = 90.00°, β = 90.00° and γ = 90.00°. Symmetry generates all atoms from Ca at (0.0000, 0.0000, 0.0000), Pa at (0.0000, 0.5000, 0.7500), Sn at (0.0000, 0.0000, 0.5000), Sn at (0.0000, 0.5000, 0.2500), O at (0.0000, 0.2038, 0.6839) and O at (0.0000, 0.3163, 0.0431).

***

No. 3
First-principles (PBE) data for crystalline CaPaSnO6 at its relaxed geometry, as listed in Alexandria via LeMat-Bulk.

For the density of states at the Fermi level, the calculation gives 10.870 states/eV per cell. The value obtained for the final energy is -7.520 eV/atom.

It has space group P-31c (No. 163), with a = 5.6352 Å, b = 5.6352 Å, c = 9.4243 Å, α = 90.00°, β = 90.00° and γ = 120.00°. Symmetry generates all atoms from Ca at (0.3333, 0.6667, 0.2500), Pa at (0.0000, 0.0000, 0.0000), Sn at (0.3333, 0.6667, 0.7500) and O at (0.0377, 0.3425, 0.6281).

***

No. 4
First-principles (PBE) data for crystalline CaPaTaO6 at its relaxed geometry, as listed in Alexandria via LeMat-Bulk.

For the density of states at the Fermi level, the calculation gives 0.000 states/eV per cell. The value obtained for the final energy is -9.105 eV/atom.

It has space group P-31c (No. 163), with a = 5.5358 Å, b = 5.5358 Å, c = 9.4519 Å, α = 90.00°, β = 90.00° and γ = 120.00°. Symmetry generates all atoms from Ca at (0.3333, 0.6667, 0.2500), Pa at (0.0000, 0.0000, 0.0000), Ta at (0.3333, 0.6667, 0.7500) and O at (0.0484, 0.3531, 0.6301).

***

No. 5
First-principles (PBE) data for crystalline CaPaTe2O8 at its relaxed geometry, as listed in Alexandria via LeMat-Bulk.

For the density of states at the Fermi level, the calculation gives 4.891 states/eV per cell. The value obtained for the final energy is -6.707 eV/atom.

It has space group I-4m2 (No. 119), with a = 7.3440 Å, b = 7.3440 Å, c = 7.0684 Å, α = 90.00°, β = 90.00° and γ = 90.00°. Symmetry generates all atoms from Ca at (0.0000, 0.0000, 0.0000), Pa at (0.0000, 0.5000, 0.2500), Te at (0.0000, 0.0000, 0.5000), Te at (0.0000, 0.5000, 0.7500), O at (0.0000, 0.2039, 0.3046) and O at (0.0000, 0.3181, 0.9502).

***

No. 6
First-principles (PBE) data for crystalline CaPaTeO5 at its relaxed geometry, as listed in Alexandria via LeMat-Bulk.

For the density of states at the Fermi level, the calculation gives 6.369 states/eV per cell. The value obtained for the final energy is -7.479 eV/atom.

It has space group C2/c (No. 15), with a = 8.7459 Å, b = 10.2756 Å, c = 6.5510 Å, α = 90.00°, β = 114.88° and γ = 90.00°. Symmetry generates all atoms from Ca at (0.0000, 0.0819, 0.2500), Pa at (0.2500, 0.2500, 0.0000), Te at (0.0000, 0.4392, 0.2500), O at (0.0000, 0.2985, 0.7500), O at (0.1576, 0.3023, 0.2725) and O at (0.1694, 0.0628, 0.0328).

***

No. 7
First-principles (PBE) data for crystalline CaPaTeO6 at its relaxed geometry, as listed in Alexandria via LeMat-Bulk.

For the density of states at the Fermi level, the calculation gives 8.657 states/eV per cell. The value obtained for the final energy is -7.315 eV/atom.

It has space group P-31c (No. 163), with a = 5.7161 Å, b = 5.7161 Å, c = 9.7974 Å, α = 90.00°, β = 90.00° and γ = 120.00°. Symmetry generates all atoms from Ca at (0.0000, 0.0000, 0.0000), Pa at (0.3333, 0.6667, 0.2500), Te at (0.3333, 0.6667, 0.7500) and O at (0.0174, 0.3664, 0.6385).

***

No. 8
First-principles (PBE) data for crystalline Ca2PaTiO6 at its relaxed geometry, as listed in Alexandria via LeMat-Bulk.

For the density of states at the Fermi level, the calculation gives 11.409 states/eV per cell. The value obtained for the final energy is -8.300 eV/atom.

It has space group P2_1/c (No. 14), with a = 5.6537 Å, b = 5.8348 Å, c = 9.8166 Å, α = 90.00°, β = 124.28° and γ = 90.00°. Symmetry generates all atoms from Ca at (0.2322, 0.0523, 0.2489), Pa at (0.5000, 0.0000, 0.0000), Ti at (0.0000, 0.0000, 0.5000), O at (0.1298, 0.2089, 0.9408), O at (0.2339, 0.6943, 0.9424) and O at (0.3504, 0.0431, 0.7400).

***

No. 9
First-principles (PBE) data for crystalline CaPaTiO6 at its relaxed geometry, as listed in Alexandria via LeMat-Bulk.

For the density of states at the Fermi level, the calculation gives 5.224 states/eV per cell. The value obtained for the final energy is -8.414 eV/atom.

It has space group P312 (No. 149), with a = 5.4674 Å, b = 5.4674 Å, c = 4.7199 Å, α = 90.00°, β = 90.00° and γ = 120.00°. Symmetry generates all atoms from Ca at (0.0000, 0.0000, 0.0000), Pa at (0.6667, 0.3333, 0.5000), Ti at (0.3333, 0.6667, 0.0000) and O at (0.0181, 0.3809, 0.2351).

***

No. 10
First-principles (PBE) data for crystalline CaPa2TiO8 at its relaxed geometry, as listed in Alexandria via LeMat-Bulk.

For the density of states at the Fermi level, the calculation gives 0.000 states/eV per cell. The value obtained for the final energy is -9.058 eV/atom.

It has space group Cmmm (No. 65), with a = 6.9122 Å, b = 7.0120 Å, c = 7.0328 Å, α = 90.00°, β = 90.00° and γ = 90.00°. Symmetry generates all atoms from Ca at (0.0000, 0.0000, 0.0000), Pa at (0.0000, 0.5000, 0.2546), Ti at (0.0000, 0.0000, 0.5000), O at (0.0000, 0.2946, 0.5000), O at (0.0000, 0.3203, 0.0000) and O at (0.1919, 0.0000, 0.2884).

***

No. 11
First-principles (PBE) data for crystalline CaPaTl2O8 at its relaxed geometry, as listed in Alexandria via LeMat-Bulk.

For the density of states at the Fermi level, the calculation gives 12.230 states/eV per cell. The value obtained for the final energy is -6.130 eV/atom.

It has space group I-4m2 (No. 119), with a = 7.0147 Å, b = 7.0147 Å, c = 7.7754 Å, α = 90.00°, β = 90.00° and γ = 90.00°. Symmetry generates all atoms from Ca at (0.0000, 0.0000, 0.0000), Pa at (0.0000, 0.5000, 0.2500), Tl at (0.0000, 0.0000, 0.5000), Tl at (0.0000, 0.5000, 0.7500), O at (0.0000, 0.1925, 0.2833) and O at (0.0000, 0.3391, 0.9822).

***

No. 12
First-principles (PBE) data for crystalline CaPa3Tl4O12 at its relaxed geometry, as listed in Alexandria via LeMat-Bulk.

For the density of states at the Fermi level, the calculation gives 37.043 states/eV per cell. The value obtained for the final energy is -7.267 eV/atom.

It has space group Im-3m (No. 229), with a = 8.8529 Å, b = 8.8529 Å, c = 8.8529 Å, α = 90.00°, β = 90.00° and γ = 90.00°. Symmetry generates all atoms from Ca at (0.0000, 0.0000, 0.0000), Pa at (0.0000, 0.0000, 0.5000), Tl at (0.2500, 0.2500, 0.2500), O at (0.0000, 0.0000, 0.2659) and O at (0.0000, 0.2500, 0.5000).

***

> What is the formula in the third record?

CaPaSnO6